A plane-wave DFT calculation with PBE was carried out for a geometry-optimized LaY2MgH structure.

Cell lengths 4.9561, 4.9561, 5.0125 Å; angles 90.00, 90.00, 90.00 degrees
Sites, in units of the cell vectors:
1 Y 0.5000 0.0000 0.0000
2 Y 0.0000 0.5000 0.0000
3 La 0.5000 0.5000 0.5000
4 H 0.0000 0.0000 0.0000
5 Mg 0.0000 0.0000 0.5000

Calculated values
Density of states at the Fermi level in states/eV/f.u.: 6.20
Magnetic moment in μB per atom: 0.00
Excess energy over the best structure of this formula in the dataset in meV per atom: 55.5
ρ in g/cm³: 4.6